This record from Alexandria describes TaInSb2I after structural relaxation. The functional is GGA-PBE.

Cell lengths 5.3520, 5.3520, 5.9202 Å; angles 90.00, 90.00, 90.00 degrees
Sites, in units of the cell vectors:
Sb 0.5000 0.0000 0.0000
Sb 0.0000 0.5000 0.0000
Ta 0.0000 0.0000 0.0000
I 0.0000 0.0000 0.5000
In 0.5000 0.5000 0.5000

Output
ΔE_f (raw)	141.3	kJ/mol of formula units
density of states at the Fermi level	0.575	states/eV per atom


This record from Alexandria describes TbPrPt after structural relaxation. The functional is GGA-PBE.

Cell lengths 5.9499, 7.0931, 8.5815 Å; angles 93.88, 90.00, 90.00 degrees
Sites, in units of the cell vectors:
Pr 0.3547 0.1910 0.8811
Pt 0.6578 0.5385 0.3651
Pt 0.3422 0.4615 0.6349
Tb 0.6239 0.8029 0.6330
Tb 0.1239 0.6971 0.8670
Pt 0.1578 0.9615 0.1349
Pr 0.1453 0.6910 0.3811
Tb 0.8761 0.3029 0.1330
Pt 0.8422 0.0385 0.8651
Pr 0.6453 0.8090 0.1189
Tb 0.3761 0.1971 0.3670
Pr 0.8547 0.3090 0.6189

Output
ΔH_f (0 K)	-0.72	eV/atom
density of states at the Fermi level	1.037	states/eV per atom


This record from Alexandria describes SrAcSn2 after structural relaxation. The functional is GGA-PBE.

Cell lengths 4.1556, 4.1556, 10.1955 Å; angles 78.24, 78.24, 60.00 degrees
Sites, in units of the cell vectors:
Sn 0.7510 0.7510 0.7471
Sn 0.2490 0.2490 0.2529
Sr 0.5000 0.5000 0.5000
Ac 0.0000 0.0000 0.0000

Output
ΔH_f (0 K)	-0.40	eV/atom
density of states at the Fermi level	0.949	states/eV per atom


This record from Alexandria describes MgNiPb2 after structural relaxation. The functional is GGA-PBE.

Cell lengths 3.3705, 3.3705, 7.8872 Å; angles 90.00, 90.00, 89.98 degrees
Sites, in units of the cell vectors:
Mg 0.5000 0.5000 0.2500
Pb 0.0000 0.0000 0.9614
Pb 0.0000 0.0000 0.5386
Ni 0.5000 0.5000 0.7500

Output
ΔH_f (0 K)	0.12	eV/atom
density of states at the Fermi level	0.499	states/eV per atom


Q: Number 1 is which compound?
A: TaInSb2I